Entry 1:
Be5GeRh6 | Alexandria via LeMat-Bulk | PBE | optimized geometry; SG = P2/m; raw total energy = -6.2602 eV per atom; energy relative to the elements = -0.647 eV per atom
1.0
3.915 0.002 -0.821
-0.002 5.683 -0.001
-0.732 0.000 6.291
Rh Be Ge
6 5 1
Direct
0.500 0.257 0.000
0.831 0.255 0.662
0.831 0.745 0.662
0.169 0.745 0.338
0.169 0.255 0.338
0.500 0.743 0.000
0.327 0.000 0.654
0.336 0.500 0.670
0.000 0.500 0.000
0.664 0.500 0.330
0.673 0.000 0.346
0.000 0.000 0.000

=====

Entry 2:
Be2GeRh2 | Alexandria via LeMat-Bulk | PBE | optimized geometry; E above lowest polymorph = 9 meV/atom; SG = P4/mbm; raw total energy = -5.7528 eV per atom; energy relative to the elements = -0.398 eV per atom
1.0
6.520 0.000 0.000
0.000 6.520 0.000
0.000 0.000 2.921
Be Rh Ge
4 4 2
Direct
0.871 0.371 0.500
0.629 0.871 0.500
0.371 0.129 0.500
0.129 0.629 0.500
0.162 0.338 0.000
0.838 0.662 0.000
0.338 0.838 0.000
0.662 0.162 0.000
0.500 0.500 0.000
0.000 0.000 0.000

=====

Entry 3:
Be2SiGe2Rh5 | Alexandria via LeMat-Bulk | PBE | optimized geometry; SG = P4/mbm; raw total energy = -6.3781 eV per atom; formation energy without anion corrections = -491 meV per atom
1.0
2.854 0.000 0.000
0.000 9.698 0.000
0.000 0.000 9.698
Rh Be Ge Si
10 4 4 2
Direct
0.500 0.000 0.500
0.500 0.129 0.835
0.500 0.335 0.629
0.500 0.165 0.129
0.500 0.871 0.165
0.500 0.665 0.371
0.500 0.371 0.335
0.500 0.629 0.665
0.500 0.835 0.871
0.500 0.500 0.000
0.000 0.360 0.140
0.000 0.640 0.860
0.000 0.140 0.640
0.000 0.860 0.360
0.000 0.155 0.345
0.000 0.655 0.155
0.000 0.345 0.845
0.000 0.845 0.655
0.000 0.500 0.500
0.000 0.000 0.000

=====

Entry 4:
BeSi2Ge2Rh5 | Alexandria via LeMat-Bulk | PBE | optimized geometry; SG = P4/mbm; raw total energy = -6.4878 eV per atom; formation energy without anion corrections = -431 meV per atom
1.0
-1.839 1.478 -1.542
-3.557 -8.510 -3.917
-6.711 -0.610 7.417
Rh Be Ge Si
10 2 4 4
Direct
0.500 0.000 0.500
0.500 0.347 0.636
0.500 0.136 0.847
0.500 0.153 0.136
0.500 0.864 0.153
0.500 0.636 0.653
0.500 0.500 0.000
0.500 0.653 0.364
0.500 0.364 0.347
0.500 0.847 0.864
0.000 0.500 0.500
0.000 0.000 0.000
0.000 0.154 0.346
0.000 0.346 0.846
0.000 0.654 0.154
0.000 0.846 0.654
0.000 0.852 0.352
0.000 0.352 0.148
0.000 0.648 0.852
0.000 0.148 0.648

=====

Entry 5:
Sm2BeGeRh6 | Alexandria via LeMat-Bulk | PBE | optimized geometry; SG = Immm; raw total energy = -6.6856 eV per atom; energy relative to the elements = -0.497 eV per atom
1.0
6.265 0.000 0.007
0.000 6.265 0.007
3.137 3.137 4.439
Sm Rh Ge Be
2 6 1 1
Direct
0.750 0.250 0.500
0.250 0.750 0.500
0.263 0.263 0.475
0.737 0.737 0.000
0.263 0.737 0.000
0.737 0.737 0.525
0.737 0.263 0.000
0.263 0.263 0.000
0.000 0.000 0.000
0.500 0.500 0.000

=====

Entry 6:
SmBeGe2Rh | Alexandria via LeMat-Bulk | PBE | optimized geometry; SG = I-4m2; raw total energy = -5.6389 eV per atom; energy relative to the elements = -0.633 eV per atom
1.0
-2.145 3.223 -1.058
1.038 -0.567 -3.835
-3.746 -4.422 1.740
Rh Ge Be Sm
1 2 1 1
Direct
0.250 0.750 0.500
0.620 0.620 0.239
0.380 0.380 0.761
0.750 0.250 0.500
0.000 0.000 0.000

=====

Entry 7:
Sm2BeGe4Rh3 | Alexandria via LeMat-Bulk | PBE | optimized geometry; SG = P-4m2; raw total energy = -6.0794 eV per atom; energy relative to the elements = -0.711 eV per atom
1.0
4.208 0.000 0.000
0.000 4.208 0.000
0.000 0.000 10.154
Be Sm Ge Rh
1 2 4 3
Direct
0.500 0.500 0.500
0.000 0.500 0.749
0.500 0.000 0.251
0.500 0.500 0.000
0.500 0.000 0.631
0.000 0.000 0.000
0.000 0.500 0.369
0.000 0.000 0.500
0.000 0.500 0.128
0.500 0.000 0.872

=====

Entry 8:
Tb2Be4Ge3Rh | Alexandria via LeMat-Bulk | PBE | optimized geometry; SG = P-4m2; raw total energy = -5.0427 eV per atom; energy relative to the elements = -0.506 eV per atom
1.0
-0.500 3.633 1.315
0.614 -1.235 3.644
9.746 1.724 -1.059
Ge Be Tb Rh
3 4 2 1
Direct
0.000 0.500 0.135
0.000 0.000 0.500
0.500 0.000 0.865
0.000 0.500 0.369
0.500 0.500 0.000
0.500 0.000 0.631
0.000 0.000 0.000
0.500 0.000 0.250
0.000 0.500 0.750
0.500 0.500 0.500

=====

The lowest raw total energy belongs to which entry?
Sm2BeGeRh6

=====

raw total energy of number 1 (Be5GeRh6)?
-6.2602 eV per atom